Entry from Alexandria: a crystal of MgBe2Se relaxed with PBEsol (SCAN).

a b c (Å): 3.369 3.369 5.463
angles (deg): 90.00 90.27 90.00
Element x y z (fractional)
1 Mg 0.000 0.000 0.000
2 Be 0.497 0.000 0.633
3 Be 0.998 0.500 0.633
4 Se 0.496 0.500 0.345

Computed properties:
E_form (uncorrected) in kJ/mol of atoms: 4.6
Magnetization in μB per cell: 0.0
Space-group type: Pm
Excess energy over the best structure of this formula in the dataset in meV/atom: 0
Calculated density in Mg/m³: 3.25

Entry from Alexandria: a crystal of MgBeSe relaxed with PBEsol (SCAN).

a b c (Å): 3.480 3.480 5.080
angles (deg): 90.00 90.00 120.00
Element x y z (fractional)
1 Mg 0.000 0.000 0.000
2 Be 0.667 0.333 0.615
3 Se 0.333 0.667 0.429

Computed properties:
E_form (uncorrected) in kJ/mol of atoms: -36.4
Magnetization in μB per cell: 0.0
Space-group type: P3m1
Calculated density in Mg/m³: 3.50

Entry from Alexandria: a crystal of MgBe3Se relaxed with PBEsol (SCAN).

a b c (Å): 4.507 4.507 4.507
angles (deg): 90.00 90.00 90.00
Element x y z (fractional)
1 Mg 0.000 0.000 0.000
2 Be 0.000 0.000 0.500
3 Be 0.000 0.500 0.000
4 Be 0.500 0.000 0.000
5 Se 0.500 0.500 0.500

Computed properties:
E_form (uncorrected) in kJ/mol of atoms: 149.6
Magnetization in μB per cell: 0.0
Space-group type: Pm-3m
Calculated density in Mg/m³: 2.36

Entry from Alexandria: a crystal of Mg2BeSe relaxed with PBEsol (SCAN).

a b c (Å): 4.692 4.692 4.692
angles (deg): 60.00 60.00 60.00
Element x y z (fractional)
1 Mg 0.250 0.250 0.250
2 Mg 0.750 0.750 0.750
3 Be 0.000 0.000 0.000
4 Se 0.500 0.500 0.500

Computed properties:
E_form (uncorrected) in kJ/mol of atoms: 18.6
Magnetization in μB per cell: 0.0
Space-group type: Fm-3m
Excess energy over the best structure of this formula in the dataset in meV/atom: 175
Calculated density in Mg/m³: 3.11

Entry from Alexandria: a crystal of MgBeSe2 relaxed with PBEsol (SCAN).

a b c (Å): 6.632 6.632 6.632
angles (deg): 129.65 129.65 73.97
Element x y z (fractional)
1 Mg 0.000 0.000 0.000
2 Mg 0.750 0.250 0.500
3 Be 0.250 0.750 0.500
4 Be 0.500 0.500 0.000
5 Se 0.174 0.625 0.049
6 Se 0.375 0.424 0.549
7 Se 0.576 0.125 0.951
8 Se 0.875 0.826 0.451

Computed properties:
E_form (uncorrected) in kJ/mol of atoms: -111.2
Magnetization in μB per cell: 0.0
Space-group type: I-42d
Calculated density in Mg/m³: 3.77

Entry from Alexandria: a crystal of Mg2BeSe relaxed with PBEsol (SCAN).

a b c (Å): 4.520 4.520 3.479
angles (deg): 90.00 90.00 90.00
Element x y z (fractional)
1 Mg 0.000 0.500 0.000
2 Mg 0.500 0.000 0.000
3 Be 0.000 0.000 0.500
4 Se 0.500 0.500 0.500

Computed properties:
E_form (uncorrected) in kJ/mol of atoms: 1.6
Magnetization in μB per cell: 0.0
Space-group type: P4/mmm
Excess energy over the best structure of this formula in the dataset in meV/atom: 0
Calculated density in Mg/m³: 3.19

Entry from Alexandria: a crystal of Mg2BeSe relaxed with PBEsol (SCAN).

a b c (Å): 5.021 5.021 5.021
angles (deg): 131.18 131.18 71.53
Element x y z (fractional)
1 Mg 0.250 0.750 0.500
2 Mg 0.750 0.250 0.500
3 Be 0.000 0.000 0.000
4 Se 0.500 0.500 0.000

Computed properties:
E_form (uncorrected) in kJ/mol of atoms: 5.0
Magnetization in μB per cell: 0.0
Space-group type: I4/mmm
Excess energy over the best structure of this formula in the dataset in meV/atom: 35
Calculated density in Mg/m³: 3.23

Entry from Alexandria: a crystal of MgBe2Se relaxed with PBEsol (SCAN).

a b c (Å): 4.395 4.395 3.413
angles (deg): 90.00 90.00 112.18
Element x y z (fractional)
1 Mg 0.000 0.000 0.000
2 Be 0.000 0.500 0.500
3 Be 0.500 0.000 0.500
4 Se 0.500 0.500 0.000

Computed properties:
E_form (uncorrected) in kJ/mol of atoms: 27.3
Magnetization in μB per cell: 0.0
Space-group type: Cmmm
Excess energy over the best structure of this formula in the dataset in meV/atom: 235
Calculated density in Mg/m³: 3.30

Entry from Alexandria: a crystal of Mg2BeSi relaxed with PBEsol (SCAN).

a b c (Å): 8.713 8.713 8.713
angles (deg): 19.71 19.71 19.71
Element x y z (fractional)
1 Mg 0.247 0.247 0.247
2 Mg 0.753 0.753 0.753
3 Be 0.500 0.500 0.500
4 Si 0.000 0.000 0.000

Computed properties:
E_form (uncorrected) in kJ/mol of atoms: 34.3
Magnetization in μB per cell: 0.0
Space-group type: R-3m
Excess energy over the best structure of this formula in the dataset in meV/atom: 123
Calculated density in Mg/m³: 2.16

Entry from Alexandria: a crystal of Mg2BeSi relaxed with PBEsol (SCAN).

a b c (Å): 4.665 4.665 5.085
angles (deg): 100.88 100.88 37.36
Element x y z (fractional)
1 Mg 0.246 0.246 0.240
2 Mg 0.754 0.754 0.760
3 Be 0.500 0.500 0.000
4 Si 0.000 0.000 0.500

Computed properties:
E_form (uncorrected) in kJ/mol of atoms: 34.7
Magnetization in μB per cell: 0.0
Space-group type: C2/m
Excess energy over the best structure of this formula in the dataset in meV/atom: 127
Calculated density in Mg/m³: 2.16

Entry from Alexandria: a crystal of Mg2BeSi relaxed with PBEsol (SCAN).

a b c (Å): 4.011 4.011 3.900
angles (deg): 90.00 90.00 90.00
Element x y z (fractional)
1 Mg 0.000 0.500 0.000
2 Mg 0.500 0.000 0.000
3 Be 0.000 0.000 0.500
4 Si 0.500 0.500 0.500

Computed properties:
E_form (uncorrected) in kJ/mol of atoms: 22.4
Magnetization in μB per cell: 0.0
Space-group type: P4/mmm
Excess energy over the best structure of this formula in the dataset in meV/atom: 0
Calculated density in Mg/m³: 2.27

Entry from Alexandria: a crystal of MgBe2Si relaxed with PBEsol (SCAN).

a b c (Å): 4.462 4.462 4.462
angles (deg): 130.23 130.23 73.04
Element x y z (fractional)
1 Mg 0.000 0.000 0.000
2 Be 0.250 0.750 0.500
3 Be 0.750 0.250 0.500
4 Si 0.500 0.500 0.000

Computed properties:
E_form (uncorrected) in kJ/mol of atoms: 38.8
Magnetization in μB per cell: 0.0
Space-group type: I4/mmm
Calculated density in Mg/m³: 2.31